No. 1
Entry from the Alexandria database: a relaxed structure of CeNdHo2Bi4 (PBE).

Computed properties:
Uncorrected energy   -5.275 eV/atom
Energy of formation   -852 meV/atom
Density of states at the Fermi level   7.8 states/eV/f.u.
V   32.94 A^3/atom

a b c (Å): 7.838 4.538 7.859
angles (deg): 90.00 109.47 90.00
Space group P2/m (No. 10)
Asymmetric unit:
Ce: 0.000 0.000 0.000
Nd: 0.000 0.500 0.500
Ho: 0.500 0.000 0.500
Ho: 0.500 0.500 0.000
Bi: 0.258 0.500 0.252
Bi: 0.259 0.000 0.754

---

No. 2
Entry from the Alexandria database: a relaxed structure of B2PPbO (PBE).

Computed properties:
Formation energy without anion corrections   0.672 eV per atom
Uncorrected energy   -4.814 eV/atom
Density of states at the Fermi level   2.0 states/eV/f.u.
V   12.49 A^3/atom

a b c (Å): 4.064 4.064 3.780
angles (deg): 90.00 90.00 90.00
Space group P4/mmm (No. 123)
Asymmetric unit:
B: 0.000 0.500 0.000
P: 0.000 0.000 0.000
Pb: 0.500 0.500 0.500
O: 0.000 0.000 0.500

---

No. 3
Entry from the Alexandria database: a relaxed structure of NaLi2InNi (PBE).

Computed properties:
Uncorrected energy   -2.706 eV/atom
Energy of formation   27 meV/atom
Density of states at the Fermi level   2.3 states/eV/f.u.
V   22.42 A^3/atom

a b c (Å): 4.775 4.775 4.916
angles (deg): 90.00 90.00 90.00
Space group P4/mmm (No. 123)
Asymmetric unit:
Na: 0.000 0.000 0.000
Li: 0.000 0.500 0.500
In: 0.500 0.500 0.000
Ni: 0.500 0.500 0.500